# TiCu2Pd7

TiCu2Pd7 after structural relaxation (PBE, Alexandria via LeMat-Bulk).

a b c (Å): 4.158 7.221 7.221
angles (deg): 119.79 90.00 90.00
Sites, in units of the cell vectors:
Cu1 0.500 0.302 0.698
Pd1 0.500 0.705 0.924
Pd2 0.500 0.295 0.076
Pd3 0.000 0.200 0.800
Pd4 0.500 0.076 0.295
Pd5 0.500 0.924 0.705
Pd6 0.000 0.800 0.200
Pd7 0.500 0.500 0.500
Ti1 0.000 0.000 0.000
Cu2 0.500 0.698 0.302

Results
calculated total energy: -5.023 eV/atom
V: 18.816 A^3/atom
density: 8.1 g/cm³
formation energy from the elements: 0.221 eV per atom